NiHgAsAu: relaxed, PBE.

Properties
Volume ... 69.5 Å³ per cell
Space-group type ... F-43m (216)
Calculated total energy ... -3.1309 eV per atom
Energy above the most stable polymorph in this dataset ... 0 meV per atom
Crystal system ... cubic
Magnetic moment ... 0.0 μB/cell

a b c (Å): 4.614 4.614 4.614
angles (deg): 60.00 60.00 60.00
Atoms (fractional coordinates):
Ni (0.000, 0.000, 0.000)
Hg (0.250, 0.250, 0.250)
As (0.750, 0.750, 0.750)
Au (0.500, 0.500, 0.500)